A plane-wave DFT calculation with PBE was carried out for a geometry-optimized KRb2NiCl6 structure.

The structure in extended XYZ format:
```
20
Lattice="7.2876 0.0000 0.0000 0.0000 10.4347 0.0000 0.0000 0.0000 7.9564" Properties=species:S:1:pos:R:3 pbc="T T T"
K 1.8219 2.6087 1.6457
K 5.4657 7.8261 6.3106
Rb 1.8219 0.2148 5.6449
Rb 1.8219 5.0026 5.6449
Rb 5.4657 5.4321 2.3115
Rb 5.4657 10.2200 2.3115
Ni 1.8219 7.8261 2.2699
Ni 5.4657 2.6087 5.6864
Cl 0.1445 7.8261 0.6261
Cl 0.1655 7.8261 3.9761
Cl 1.8219 5.5773 2.2829
Cl 1.8219 10.0748 2.2829
Cl 3.4783 7.8261 3.9761
Cl 3.4993 7.8261 0.6261
Cl 3.7883 2.6087 7.3303
Cl 3.8092 2.6087 3.9802
Cl 5.4657 0.3599 5.6735
Cl 5.4657 4.8575 5.6735
Cl 7.1221 2.6087 3.9802
Cl 7.1430 2.6087 7.3303
```

Final energy: -3.330 eV/atom
V: 605 Å³/cell
Symmetry: No. 59

***

A plane-wave DFT calculation with PBE was carried out for a geometry-optimized KRbNi2Cl8 structure.

The structure in extended XYZ format:
```
12
Lattice="3.3772 1.9498 9.6029 -3.3772 1.9498 9.6029 0.0000 -3.8996 9.6029" Properties=species:S:1:pos:R:3 pbc="T T T"
K 0.0000 0.0000 0.0000
Rb 0.0000 0.0000 14.4044
Ni 0.0000 0.0000 7.0071
Ni 0.0000 0.0000 21.8017
Cl -2.0731 -0.3620 11.4942
Cl 0.0000 0.0000 4.8467
Cl -0.7231 -1.9764 17.3146
Cl 1.3501 -1.6144 11.4942
Cl -1.3500 1.6144 17.3146
Cl 0.7231 1.9764 11.4942
Cl 0.0000 0.0000 23.9620
Cl 2.0731 0.3620 17.3145
```

Final energy: -3.319 eV/atom
V: 379 Å³/cell
Symmetry: No. 148

***

A plane-wave DFT calculation with PBE was carried out for a geometry-optimized KNiRhCl6 structure.

The structure in extended XYZ format:
```
9
Lattice="6.2236 0.0000 0.0000 -3.1118 5.3898 0.0000 0.0000 0.0000 7.0786" Properties=species:S:1:pos:R:3 pbc="T T T"
K 0.0000 0.0000 0.0000
Ni 3.1118 1.7966 3.5393
Rh 0.0000 3.5932 3.5393
Cl -1.1138 1.9838 4.8701
Cl -1.9506 3.4333 2.2085
Cl 1.1138 1.9838 2.2085
Cl -0.8369 5.3624 4.8701
Cl 1.9506 3.4333 4.8701
Cl 0.8369 5.3624 2.2085
```

Final energy: -3.718 eV/atom
V: 237 Å³/cell
Symmetry: No. 149

***

A plane-wave DFT calculation with PBE was carried out for a geometry-optimized KNiRuCl6 structure.

The structure in extended XYZ format:
```
9
Lattice="6.2608 0.0000 0.0000 -3.1304 5.4220 0.0000 0.0000 0.0000 7.0461" Properties=species:S:1:pos:R:3 pbc="T T T"
K 0.0000 0.0000 0.0000
Ni 3.1304 1.8073 3.5231
Ru 0.0000 3.6147 3.5231
Cl -1.1323 2.0120 4.8617
Cl -1.9541 3.4354 2.1844
Cl 1.1323 2.0120 2.1844
Cl -0.8218 5.3966 4.8617
Cl 1.9541 3.4354 4.8617
Cl 0.8218 5.3966 2.1844
```

Final energy: -3.873 eV/atom
V: 239 Å³/cell
Symmetry: No. 149

***

The following energy relative to the elements, uncorrected values (in eV/atom) correspond, in order, to the records above: -1.34; -0.95; -0.91; -0.85.